# AcTlTeS

An optimized crystal structure of AcTlTeS (PBE, the Alexandria database).

The structure in POSCAR format:
```
AcTlTeS
1.0
5.520 0.000 0.000
2.760 4.781 0.000
2.760 1.594 4.507
Ac S Te Tl
1 1 1 1
Cartesian
0.000 0.000 0.000
2.760 1.594 1.127
8.280 4.781 3.380
5.520 3.187 2.254
```

Calculated values
The calculation puts the magnetization at 0.0 μB/f.u. For the raw formation energy, the calculation gives -4.4 eV per formula unit. As for the offset from the most stable computed form: 0.113 eV per atom.

---

# AcTmTe2S

An optimized crystal structure of AcTmTe2S (PBE, the Alexandria database).

The structure in POSCAR format:
```
AcTmTe2S
1.0
-3.796 0.589 2.471
-0.981 -4.439 -0.448
8.083 -3.115 13.161
Te S Tm Ac
4 2 2 2
Cartesian
5.278 -4.442 9.167
0.259 -2.508 0.996
5.436 -2.532 13.177
0.417 -0.598 5.005
1.653 -3.482 7.592
4.042 -1.558 6.581
-1.049 -0.032 2.618
6.744 -5.008 11.555
2.650 -3.430 4.888
3.045 -1.610 9.284
```

Calculated values
The calculation puts the magnetization at 0.0 μB/f.u. For the raw formation energy, the calculation gives -7.7 eV per formula unit.

---

# Ac2TmTe2S2

An optimized crystal structure of Ac2TmTe2S2 (PBE, the Alexandria database).

The structure in POSCAR format:
```
Ac2TmTe2S2
1.0
5.057 0.000 0.000
0.000 5.057 0.000
-2.529 -2.529 8.413
Te Ac S Tm
2 2 2 1
Cartesian
2.529 2.529 5.390
0.000 0.000 3.023
2.529 2.529 2.050
0.000 0.000 6.363
0.000 2.529 0.000
2.529 0.000 0.000
0.000 0.000 0.000
```

Calculated values
The calculation puts the magnetization at 0.0 μB/f.u. For the raw formation energy, the calculation gives -12.2 eV per formula unit.

---

# Ac2YTe2S2

An optimized crystal structure of Ac2YTe2S2 (PBE, the Alexandria database).

The structure in POSCAR format:
```
Ac2YTe2S2
1.0
5.110 0.000 0.000
0.000 5.110 0.000
-2.555 -2.555 8.418
Ac Te S Y
2 2 2 1
Cartesian
0.000 0.000 6.374
2.555 2.555 2.044
2.555 2.555 5.367
0.000 0.000 3.050
2.555 0.000 0.000
0.000 2.555 0.000
0.000 0.000 0.000
```

Calculated values
The calculation puts the magnetization at 0.0 μB/f.u. For the raw formation energy, the calculation gives -12.0 eV per formula unit.

---

# AcYTeS2

An optimized crystal structure of AcYTeS2 (PBE, the Alexandria database).

The structure in POSCAR format:
```
AcYTeS2
1.0
4.916 0.000 0.000
0.000 4.916 0.000
0.000 0.000 7.080
Ac Te S Y
1 1 2 1
Cartesian
2.458 2.458 4.739
0.000 0.000 3.325
0.000 2.458 6.421
2.458 4.916 6.421
0.000 4.916 0.333
```

Calculated values
The calculation puts the magnetization at 0.0 μB/f.u. For the raw formation energy, the calculation gives -9.3 eV per formula unit.

---

# AcYTe2S

An optimized crystal structure of AcYTe2S (PBE, the Alexandria database).

The structure in POSCAR format:
```
AcYTe2S
1.0
-0.245 -4.568 -0.389
1.053 -0.435 4.447
-15.402 0.513 3.698
Te Y S Ac
4 2 2 2
Cartesian
-10.426 0.147 4.854
-4.572 -2.136 0.874
-14.082 -1.819 3.158
-0.916 -0.169 2.570
-1.758 -2.229 0.198
-13.240 0.241 5.529
-7.297 -2.245 3.878
-7.701 0.256 1.849
-9.526 -1.971 2.064
-5.472 -0.018 3.664
```

Calculated values
The calculation puts the magnetization at 0.0 μB/f.u. For the raw formation energy, the calculation gives -7.9 eV per formula unit.